# 1
DFT (PBE) results for a geometry-optimized Co2W structure.

Structure (extended XYZ):
```
12
Lattice="2.5749 0.0000 0.0000 0.0000 14.0650 0.0000 0.0000 0.0000 4.2648" Properties=species:S:1:pos:R:3 pbc="T T T"
Co 0.0000 0.6233 1.0662
Co 0.0000 5.5653 1.0662
Co 0.0000 8.4996 3.1986
Co 0.0000 13.4417 3.1986
Co 1.2875 1.4671 3.1986
Co 1.2875 6.4092 3.1986
Co 1.2875 7.6558 1.0662
Co 1.2875 12.5978 1.0662
W 0.0000 4.1431 3.1986
W 0.0000 9.9219 1.0662
W 1.2875 2.8894 1.0662
W 1.2875 11.1756 3.1986
```

Results
Size of the total moment, μB per atom: 0.849
Crystal system: orthorhombic
E, eV per atom: -8.84
V, Å³ per atom: 12.87

***

# 2
DFT (PBE) results for a geometry-optimized Er3PbS6 structure.

Structure (extended XYZ):
```
20
Lattice="11.1156 0.0000 0.0000 0.0000 3.9944 0.0000 -3.6109 0.0000 10.8046" Properties=species:S:1:pos:R:3 pbc="T T T"
Er 0.0500 0.9986 1.7809
Er 0.1582 2.9958 5.3787
Er 0.4808 0.9986 9.8861
Er 7.0239 2.9958 0.9184
Er 7.3465 0.9986 5.4258
Er 7.4547 2.9958 9.0236
Pb 3.9898 0.9986 3.3962
Pb 3.5149 2.9958 7.4084
S -1.1899 0.9986 4.1718
S -2.2132 0.9986 10.1926
S 1.4922 2.9958 2.9104
S 0.5818 2.9958 8.0756
S 2.1724 0.9986 5.7163
S 4.3232 2.9958 0.9078
S 3.1815 0.9986 9.8967
S 5.3323 2.9958 5.0883
S 6.9229 0.9986 2.7290
S 6.0125 0.9986 7.8941
S 9.7179 2.9958 0.6120
S 8.6947 2.9958 6.6328
```

Results
Size of the total moment, μB per atom: 0.000
Formation energy without anion corrections, meV/atom: -1570
Crystal system: monoclinic
V, Å³ per atom: 23.99

***

# 3
DFT (PBE) results for a geometry-optimized Ca2BeAl structure.

Structure (extended XYZ):
```
12
Lattice="3.6725 0.0000 0.0000 -1.8363 3.1805 0.0000 0.0000 0.0000 27.4324" Properties=species:S:1:pos:R:3 pbc="T T T"
Ca 0.0000 0.0000 6.6705
Ca 0.0000 0.0000 20.7619
Ca 0.0000 2.1203 11.6178
Ca 0.0000 2.1203 24.9588
Ca 1.8363 1.0602 2.4737
Ca 1.8363 1.0602 15.8146
Be 0.0000 0.0000 13.7162
Be 0.0000 2.1203 4.5721
Be 1.8363 1.0602 22.8604
Al 0.0000 0.0000 0.0000
Al 0.0000 2.1203 18.2883
Al 1.8363 1.0602 9.1441
```

Results
Size of the total moment, μB per atom: 0.000
Crystal system: trigonal
Polymorph energy (0 for the lowest one), eV/atom: 0.393
V, Å³ per atom: 26.70

***

# 4
DFT (PBE) results for a geometry-optimized Ho3PI3 structure.

Structure (extended XYZ):
```
14
Lattice="3.5160 2.0300 11.2436 -3.5160 2.0300 11.2436 0.0000 -4.0599 11.2436" Properties=species:S:1:pos:R:3 pbc="T T T"
Ho -1.1978 -2.0747 15.4104
Ho -2.3956 0.0000 18.3205
Ho -1.1978 2.0747 15.4104
Ho 1.1978 -2.0747 18.3205
Ho 2.3956 0.0000 15.4104
Ho 1.1978 2.0747 18.3205
P 0.0000 0.0000 5.6218
P 0.0000 0.0000 28.1091
I -2.3310 0.0001 13.3700
I -1.1656 -2.0186 20.3609
I 1.1654 -2.0187 13.3701
I -1.1654 2.0187 20.3608
I 1.1656 2.0186 13.3701
I 2.3310 -0.0001 20.3608
```

Results
Size of the total moment, μB per atom: 0.000
Formation energy without anion corrections, meV/atom: -1311
Crystal system: trigonal
V, Å³ per atom: 34.39

***

# 5
DFT (PBE) results for a geometry-optimized AcPr3Nd4Te8 structure.

Structure (extended XYZ):
```
16
Lattice="4.5427 2.6227 7.4205 -4.5427 2.6227 7.4205 0.0000 -5.2455 7.4205" Properties=species:S:1:pos:R:3 pbc="T T T"
Ac 0.0000 0.0000 0.0000
Pr -2.2714 -1.3114 7.4205
Pr -2.2714 1.3114 14.8410
Pr 0.0000 2.6227 7.4205
Nd -4.5427 0.0000 11.1308
Nd -2.2714 1.3114 3.7103
Nd 2.2714 1.3114 3.7103
Nd 0.0000 0.0000 11.1308
Te 0.0000 0.0000 5.5456
Te -2.2362 -1.2911 12.9367
Te 0.0000 -2.5822 9.3248
Te -2.2362 1.2911 9.3248
Te 2.2362 -1.2911 12.9367
Te 0.0000 2.5821 12.9367
Te 2.2362 1.2911 9.3248
Te 0.0000 0.0000 16.7160
```

Results
Size of the total moment, μB per atom: 0.000
Formation energy without anion corrections, meV/atom: -1430
Crystal system: trigonal
V, Å³ per atom: 33.15

***

# 6
DFT (PBE) results for a geometry-optimized Cs5Se2I2 structure.

Structure (extended XYZ):
```
18
Lattice="9.5666 -4.8520 0.0000 9.5666 4.8520 0.0000 0.0000 0.0000 9.7235" Properties=species:S:1:pos:R:3 pbc="T T T"
Cs 0.0000 0.0000 0.0000
Cs 7.1736 3.2832 6.4278
Cs 7.1736 1.5689 1.5661
Cs 11.9596 3.2832 6.4278
Cs 11.9596 1.5689 1.5661
Cs 9.5666 0.0000 4.8617
Cs 7.1736 -1.5689 8.1574
Cs 7.1736 -3.2832 3.2957
Cs 11.9596 -1.5689 8.1574
Cs 11.9596 -3.2832 3.2957
Se 9.5666 3.6484 3.6571
Se 9.5666 1.2036 8.5188
Se 9.5666 -1.2036 1.2047
Se 9.5666 -3.6484 6.0664
I 3.8905 0.0000 0.0000
I 5.6761 0.0000 4.8617
I 13.4570 0.0000 4.8617
I 15.2427 0.0000 0.0000
```

Results
Size of the total moment, μB per atom: 0.110
Formation energy without anion corrections, meV/atom: -1214
Crystal system: orthorhombic
V, Å³ per atom: 50.15

***

# 7
DFT (PBE) results for a geometry-optimized Ba3CdAu2 structure.

Structure (extended XYZ):
```
12
Lattice="4.4437 2.5656 6.9802 -4.4437 2.5656 6.9802 0.0000 -5.1312 6.9802" Properties=species:S:1:pos:R:3 pbc="T T T"
Ba -3.1574 -0.3376 8.7253
Ba -1.2863 -2.9032 12.2154
Ba 1.8711 -2.5656 8.7253
Ba -1.8711 2.5656 12.2154
Ba 1.2863 2.9032 8.7253
Ba 3.1574 0.3376 12.2154
Cd 0.0000 0.0000 0.0000
Cd 0.0000 0.0000 10.4704
Au 0.0000 0.0000 2.9416
Au 0.0000 0.0000 7.5288
Au 0.0000 0.0000 13.4119
Au 0.0000 0.0000 17.9992
```

Results
Size of the total moment, μB per atom: 0.000
Crystal system: trigonal
Polymorph energy (0 for the lowest one), eV/atom: 0.021
V, Å³ per atom: 39.79

***

# 8
DFT (PBE) results for a geometry-optimized Pr7ErIn4 structure.

Structure (extended XYZ):
```
12
Lattice="7.4052 -2.9444 0.0000 7.4052 2.9444 0.0000 -5.9528 0.0000 9.0053" Properties=species:S:1:pos:R:3 pbc="T T T"
Pr 0.0000 0.0000 0.0000
Pr -0.6501 0.0000 5.9621
Pr 3.6815 0.0000 1.0612
Pr 2.8483 0.0000 5.4839
Pr 6.0092 0.0000 3.5214
Pr 5.1760 0.0000 7.9441
Pr 9.5076 0.0000 3.0432
Er 7.4052 0.0000 0.0000
In -3.6402 0.0000 6.7662
In 0.6957 0.0000 3.0023
In 8.1618 0.0000 6.0030
In 12.4977 0.0000 2.2391
```

Results
Size of the total moment, μB per atom: 0.000
Crystal system: monoclinic
E, eV per atom: -4.22
V, Å³ per atom: 32.73

***

# 9
DFT (PBE) results for a geometry-optimized B2HPd structure.

Structure (extended XYZ):
```
16
Lattice="3.3670 0.0000 0.0000 0.0000 3.3670 0.0000 0.0000 0.0000 11.8208" Properties=species:S:1:pos:R:3 pbc="T T T"
B 0.0000 0.0000 0.0000
B 0.0000 1.6835 0.0000
B 0.8418 0.8418 8.8656
B 0.8418 2.5253 2.9552
B 1.6835 0.0000 5.9104
B 1.6835 1.6835 5.9104
B 2.5253 0.8418 8.8656
B 2.5253 2.5253 2.9552
H 0.0000 0.8418 10.3432
H 0.0000 2.5253 1.4776
H 1.6835 0.8418 7.3880
H 1.6835 2.5253 4.4328
Pd 0.0000 0.8418 4.4328
Pd 0.0000 2.5253 7.3880
Pd 1.6835 0.8418 1.4776
Pd 1.6835 2.5253 10.3432
```

Results
Size of the total moment, μB per atom: 0.000
Crystal system: tetragonal
Polymorph energy (0 for the lowest one), eV/atom: 0.000
V, Å³ per atom: 8.38

***

# 10
DFT (PBE) results for a geometry-optimized CaCoMo2 structure.

Structure (extended XYZ):
```
4
Lattice="2.6362 0.0000 0.0000 0.0000 4.8745 0.0000 0.0000 0.0000 5.2876" Properties=species:S:1:pos:R:3 pbc="T T T"
Ca 0.0000 0.0000 0.0000
Co 0.0000 0.0000 2.6438
Mo 1.3181 2.4373 1.3624
Mo 1.3181 2.4373 3.9253
```

Results
Size of the total moment, μB per atom: 0.383
Crystal system: orthorhombic
Polymorph energy (0 for the lowest one), eV/atom: 0.349
V, Å³ per atom: 16.99

***

# 11
DFT (PBE) results for a geometry-optimized Ce2Pm3PuTe6 structure.

Structure (extended XYZ):
```
12
Lattice="9.7641 -2.2234 0.0000 9.7641 2.2234 0.0000 -2.1450 0.0000 8.7249" Properties=species:S:1:pos:R:3 pbc="T T T"
Ce 2.5365 0.0000 2.9138
Ce 14.8467 0.0000 5.8112
Pm 1.4714 0.0000 7.2778
Pm 8.6916 0.0000 4.3625
Pm 15.9118 0.0000 1.4471
Pu 9.7641 0.0000 0.0000
Te -1.6035 0.0000 6.5695
Te 5.6301 0.0000 3.6191
Te 4.5616 0.0000 8.0094
Te 12.8216 0.0000 0.7156
Te 11.7531 0.0000 5.1059
Te 18.9867 0.0000 2.1554
```

Results
Size of the total moment, μB per atom: 0.690
Formation energy without anion corrections, meV/atom: -1356
Crystal system: monoclinic
V, Å³ per atom: 31.57

***

# 12
DFT (PBE) results for a geometry-optimized BaNa3Rh structure.

Structure (extended XYZ):
```
5
Lattice="5.9908 0.0000 0.0000 0.0000 5.9908 0.0000 0.0000 0.0000 5.9908" Properties=species:S:1:pos:R:3 pbc="T T T"
Ba 0.0000 0.0000 0.0000
Na 0.0000 0.0000 2.9954
Na 0.0000 2.9954 0.0000
Na 2.9954 0.0000 0.0000
Rh 2.9954 2.9954 2.9954
```

Results
Size of the total moment, μB per atom: 0.000
Crystal system: cubic
Polymorph energy (0 for the lowest one), eV/atom: 1.183
V, Å³ per atom: 43.00

***

# 13
DFT (PBE) results for a geometry-optimized BaReAg structure.

Structure (extended XYZ):
```
3
Lattice="5.2256 0.0000 0.0000 -2.6128 4.5255 0.0000 0.0000 0.0000 2.9689" Properties=species:S:1:pos:R:3 pbc="T T T"
Ba 0.0000 0.0000 0.0000
Re 2.6128 1.5085 1.4845
Ag 0.0000 3.0170 1.4845
```

Results
Size of the total moment, μB per atom: 0.009
Crystal system: hexagonal
Polymorph energy (0 for the lowest one), eV/atom: 0.148
V, Å³ per atom: 23.40

***

# 14
DFT (PBE) results for a geometry-optimized PrNdSiS structure.

Structure (extended XYZ):
```
12
Lattice="4.1904 0.0000 0.0000 -2.0952 3.6290 0.0000 0.0000 0.0000 20.7665" Properties=species:S:1:pos:R:3 pbc="T T T"
Pr 0.0000 0.0000 0.0000
Pr 0.0000 2.4193 13.8443
Pr 2.0952 1.2097 6.9222
Nd 0.0000 0.0000 10.3752
Nd 0.0000 2.4193 3.4530
Nd 2.0952 1.2097 17.2973
Si 0.0000 0.0000 5.1749
Si 0.0000 2.4193 19.0193
Si 2.0952 1.2097 12.0971
S 0.0000 0.0000 15.5886
S 0.0000 2.4193 8.6664
S 2.0952 1.2097 1.7443
```

Results
Size of the total moment, μB per atom: 0.000
Formation energy without anion corrections, meV/atom: -1341
Crystal system: trigonal
V, Å³ per atom: 26.32

***

# 15
DFT (PBE) results for a geometry-optimized NdHfTc4 structure.

Structure (extended XYZ):
```
6
Lattice="0.0000 3.7997 3.7997 3.7997 0.0000 3.7997 3.7997 3.7997 0.0000" Properties=species:S:1:pos:R:3 pbc="T T T"
Nd 0.0000 0.0000 0.0000
Hf 5.6996 5.6996 5.6996
Tc 2.8534 2.8534 2.8534
Tc 4.7461 4.7461 2.8534
Tc 4.7461 2.8534 4.7461
Tc 2.8534 4.7461 4.7461
```

Results
Size of the total moment, μB per atom: 0.001
Crystal system: cubic
E, eV per atom: -9.42
V, Å³ per atom: 18.29

***

# 16
DFT (PBE) results for a geometry-optimized GeSeN2 structure.

Structure (extended XYZ):
```
4
Lattice="3.6880 0.0000 0.0000 1.8368 3.2005 0.0000 0.0071 1.1084 10.1500" Properties=species:S:1:pos:R:3 pbc="T T T"
Ge 0.0000 0.0000 0.0000
Se 3.6901 3.2411 8.7109
N 0.7387 1.4481 3.8139
N 1.0486 0.9356 4.7526
```

Results
Size of the total moment, μB per atom: 0.000
Formation energy without anion corrections, meV/atom: -88
Crystal system: triclinic
Polymorph energy (0 for the lowest one), eV/atom: 0.000
V, Å³ per atom: 29.95

***

# 17
DFT (PBE) results for a geometry-optimized TbDy5Tm2 structure.

Structure (extended XYZ):
```
16
Lattice="7.0477 0.0000 0.0000 0.0000 14.0970 0.0000 0.0000 0.0000 4.9771" Properties=species:S:1:pos:R:3 pbc="T T T"
Tb 0.0000 0.0000 0.0000
Tb 3.5238 7.0485 0.0000
Dy 0.0000 7.0485 0.0000
Dy 0.0056 3.5258 0.0000
Dy 1.7576 8.8126 2.4885
Dy 1.7662 1.7641 2.4885
Dy 3.5182 10.5743 0.0000
Dy 3.5238 0.0000 0.0000
Dy 3.5295 3.5228 0.0000
Dy 5.2814 12.3329 2.4885
Dy 5.2900 5.2844 2.4885
Dy 7.0420 10.5713 0.0000
Tm 1.7651 5.2852 2.4885
Tm 1.7587 12.3337 2.4885
Tm 5.2890 1.7633 2.4885
Tm 5.2825 8.8118 2.4885
```

Results
Size of the total moment, μB per atom: 0.000
Crystal system: orthorhombic
Polymorph energy (0 for the lowest one), eV/atom: 0.011
V, Å³ per atom: 30.90

***

# 18
DFT (PBE) results for a geometry-optimized La2Tb6Nd3Y structure.

Structure (extended XYZ):
```
12
Lattice="3.1433 -5.4438 0.0000 3.1433 5.4438 0.0000 -2.0898 0.0000 11.7725" Properties=species:S:1:pos:R:3 pbc="T T T"
La 3.1433 3.6333 0.0000
La 3.1433 -3.6333 0.0000
Tb 0.0040 1.8116 8.8183
Tb 1.0554 0.0000 2.9577
Tb 0.0040 -1.8116 8.8183
Tb 4.1928 1.8116 2.9543
Tb 3.1414 0.0000 8.8149
Tb 4.1928 -1.8116 2.9543
Nd -1.0449 0.0000 5.8863
Nd 2.0984 1.8146 5.8863
Nd 2.0984 -1.8146 5.8863
Y 3.1433 0.0000 0.0000
```

Results
Size of the total moment, μB per atom: 0.000
Crystal system: monoclinic
E, eV per atom: -4.85
V, Å³ per atom: 33.57

***

# 19
DFT (PBE) results for a geometry-optimized Ac4Cd2Cl structure.

Structure (extended XYZ):
```
14
Lattice="5.7526 0.0000 0.0000 0.0000 5.7526 0.0000 0.0000 0.0000 16.2724" Properties=species:S:1:pos:R:3 pbc="T T T"
Ac 0.0000 0.0000 3.0950
Ac 0.0000 0.0000 13.1774
Ac 0.0000 2.8763 0.0000
Ac 0.0000 2.8763 8.1362
Ac 2.8763 0.0000 0.0000
Ac 2.8763 0.0000 8.1362
Ac 2.8763 2.8763 5.0412
Ac 2.8763 2.8763 11.2312
Cd 0.0000 0.0000 6.3195
Cd 0.0000 0.0000 9.9528
Cd 2.8763 2.8763 1.8166
Cd 2.8763 2.8763 14.4557
Cl 0.0000 0.0000 0.0000
Cl 2.8763 2.8763 8.1362
```

Results
Size of the total moment, μB per atom: 0.000
Formation energy without anion corrections, meV/atom: -394
Crystal system: tetragonal
V, Å³ per atom: 38.46

***

# 20
DFT (PBE) results for a geometry-optimized MgH4Pt4 structure.

Structure (extended XYZ):
```
9
Lattice="4.7140 -1.4214 0.0000 4.7140 1.4214 0.0000 -4.4950 0.0000 7.4318" Properties=species:S:1:pos:R:3 pbc="T T T"
Mg 0.0000 0.0000 0.0000
H -0.7502 0.0000 3.7795
H 2.4394 0.0000 2.3043
H 2.4935 0.0000 5.1275
H 5.6831 0.0000 3.6523
Pt -1.9462 0.0000 6.2396
Pt 0.6156 0.0000 4.8997
Pt 4.3174 0.0000 2.5320
Pt 6.8792 0.0000 1.1922
```

Results
Size of the total moment, μB per atom: 0.000
Crystal system: monoclinic
E, eV per atom: -4.46
V, Å³ per atom: 11.07

***

# 21
DFT (PBE) results for a geometry-optimized PmSn3Ir2 structure.

Structure (extended XYZ):
```
18
Lattice="8.8283 -2.1866 0.0000 8.8283 2.1866 0.0000 -3.0398 0.0000 10.3495" Properties=species:S:1:pos:R:3 pbc="T T T"
Pm 0.0000 0.0000 0.0000
Pm 0.5708 0.0000 7.2362
Pm 14.0461 0.0000 3.1133
Sn -0.2852 0.0000 3.5860
Sn 2.7984 0.0000 3.9411
Sn 5.7674 0.0000 0.6662
Sn 4.0816 0.0000 8.4506
Sn 7.3084 0.0000 5.1747
Sn 10.5353 0.0000 1.8989
Sn 8.8494 0.0000 9.6832
Sn 11.8185 0.0000 6.4084
Sn 14.9020 0.0000 6.7634
Ir 3.1616 0.0000 1.2120
Ir 4.6587 0.0000 5.7855
Ir 7.8451 0.0000 2.3005
Ir 6.7718 0.0000 8.0489
Ir 9.9582 0.0000 4.5639
Ir 11.4552 0.0000 9.1375
```

Results
Size of the total moment, μB per atom: 0.000
Crystal system: monoclinic
Polymorph energy (0 for the lowest one), eV/atom: 0.000
V, Å³ per atom: 22.20

***

# 22
DFT (PBE) results for a geometry-optimized Ca3TlAg structure.

Structure (extended XYZ):
```
10
Lattice="5.2946 -7.8764 0.0000 5.2946 7.8764 0.0000 0.0000 0.0000 4.0374" Properties=species:S:1:pos:R:3 pbc="T T T"
Ca 5.2946 5.2626 0.0000
Ca 3.3250 1.7822 2.0187
Ca 3.3250 -1.7822 2.0187
Ca 7.2643 1.7822 2.0187
Ca 7.2643 -1.7822 2.0187
Ca 5.2946 -5.2626 0.0000
Tl 0.0000 0.0000 2.0187
Tl 5.2946 0.0000 0.0000
Ag 2.6473 3.9382 0.0000
Ag 2.6473 -3.9382 0.0000
```

Results
Size of the total moment, μB per atom: 0.000
Crystal system: orthorhombic
Polymorph energy (0 for the lowest one), eV/atom: 0.103
V, Å³ per atom: 33.67